This record from Alexandria via LeMat-Bulk describes crystalline Zn2FeMo at its relaxed geometry. The functional is GGA-PBE.

abc: 4.221 2.573 5.304
angles: 75.22 90.00 90.00
Fractional coordinates of all 4 atoms:
Fe 0.500 0.250 0.250
Mo 0.500 0.750 0.750
Zn 0.000 0.050 0.010
Zn 0.000 0.450 0.490

Summary:
- V: 55.71 Å³/cell
- Total magnetic moment: 2.3 μB/cell
- ΔH_f (0 K): 0.15 eV/atom
- Crystal system: monoclinic



This record from Alexandria via LeMat-Bulk describes crystalline Cs5BrCl2O at its relaxed geometry. The functional is GGA-PBE.

abc: 5.706 8.224 9.821
angles: 114.75 106.89 90.00
Fractional coordinates of all 9 atoms:
Cs 0.625 0.885 0.250
Cs 0.375 0.115 0.750
Cs 0.375 0.635 0.750
Cs 0.625 0.365 0.250
Cs 0.000 0.000 0.000
Br 0.000 0.500 0.000
Cl 0.204 0.204 0.408
Cl 0.796 0.796 0.592
O 0.500 0.000 0.000

Summary:
- V: 396.51 Å³/cell
- Formation energy without anion corrections: -1574 meV/atom
- Total magnetic moment: 0.0 μB/cell
- Crystal system: orthorhombic



This record from Alexandria via LeMat-Bulk describes crystalline TlHgP2Rh at its relaxed geometry. The functional is GGA-PBE.

abc: 4.620 5.395 4.620
angles: 90.00 90.00 90.00
Fractional coordinates of all 5 atoms:
P 0.000 0.000 0.500
P 0.500 0.000 0.000
Tl 0.500 0.500 0.500
Rh 0.000 0.000 0.000
Hg 0.000 0.500 0.000

Summary:
- V: 115.14 Å³/cell
- Total magnetic moment: 0.0 μB/cell
- ΔH_f (0 K): 0.28 eV/atom
- Crystal system: tetragonal



This record from Alexandria via LeMat-Bulk describes crystalline TlAsBr2 at its relaxed geometry. The functional is GGA-PBE.

abc: 6.935 6.935 3.503
angles: 60.32 60.32 75.89
Fractional coordinates of all 4 atoms:
Tl 0.500 0.000 0.500
As 0.000 0.500 0.500
Br 0.000 0.000 0.000
Br 0.500 0.500 0.000

Summary:
- V: 127.17 Å³/cell
- Formation energy without anion corrections: -22 meV/atom
- Total magnetic moment: 0.0 μB/cell
- Crystal system: monoclinic



This record from Alexandria via LeMat-Bulk describes crystalline Zn2IrPb at its relaxed geometry. The functional is GGA-PBE.

abc: 5.018 5.018 5.018
angles: 131.46 131.46 71.09
Fractional coordinates of all 4 atoms:
Ir 0.500 0.500 0.000
Pb 0.750 0.250 0.500
Zn 0.000 0.000 0.000
Zn 0.250 0.750 0.500

Summary:
- V: 69.48 Å³/cell
- Total magnetic moment: 0.0 μB/cell
- ΔH_f (0 K): 0.19 eV/atom
- Crystal system: tetragonal



This record from Alexandria via LeMat-Bulk describes crystalline Ce3NdHo2N6 at its relaxed geometry. The functional is GGA-PBE.

abc: 6.140 6.140 6.125
angles: 99.62 99.62 119.99
Fractional coordinates of all 12 atoms:
Ce 0.167 0.833 0.500
Ce 0.833 0.167 0.500
Ce 0.500 0.500 0.500
Nd 0.000 0.000 0.000
Ho 0.333 0.667 0.000
Ho 0.667 0.333 0.000
N 0.916 0.571 0.747
N 0.738 0.738 0.251
N 0.084 0.429 0.253
N 0.571 0.916 0.747
N 0.262 0.262 0.749
N 0.429 0.084 0.253

Summary:
- V: 188.49 Å³/cell
- Formation energy without anion corrections: -1550 meV/atom
- Total magnetic moment: 0.5 μB/cell
- Crystal system: monoclinic



This record from Alexandria via LeMat-Bulk describes crystalline Ba2PbC at its relaxed geometry. The functional is GGA-PBE.

abc: 5.720 5.720 5.720
angles: 60.00 60.00 60.00
Fractional coordinates of all 4 atoms:
Pb 0.500 0.500 0.500
C 0.000 0.000 0.000
Ba 0.250 0.250 0.250
Ba 0.750 0.750 0.750

Summary:
- V: 132.32 Å³/cell
- Total magnetic moment: 0.0 μB/cell
- ΔH_f (0 K): 0.82 eV/atom
- Crystal system: cubic



This record from Alexandria via LeMat-Bulk describes crystalline U2H2SBr at its relaxed geometry. The functional is GGA-PBE.

abc: 3.729 3.729 8.225
angles: 90.00 90.00 120.00
Fractional coordinates of all 6 atoms:
U 0.333 0.667 0.705
U 0.667 0.333 0.295
H 0.333 0.667 0.242
H 0.667 0.333 0.758
S 0.000 0.000 0.500
Br 0.000 0.000 0.000

Summary:
- VASP energy: -39.65 eV for the cell shown
- V: 99.07 Å³/cell
- Total magnetic moment: 4.9 μB/cell
- Crystal system: trigonal



This record from Alexandria via LeMat-Bulk describes crystalline CdHOs2 at its relaxed geometry. The functional is GGA-PBE.

abc: 5.837 5.837 5.247
angles: 56.21 56.21 90.00
Fractional coordinates of all 8 atoms:
H 0.500 0.500 0.000
H 0.250 0.750 0.500
Os 0.467 0.125 0.250
Os 0.283 0.625 0.250
Os 0.375 0.533 0.750
Os 0.875 0.717 0.750
Cd 0.000 0.000 0.000
Cd 0.750 0.250 0.500

Summary:
- VASP energy: -46.62 eV for the cell shown
- V: 110.40 Å³/cell
- Total magnetic moment: 0.0 μB/cell
- Crystal system: tetragonal



This record from Alexandria via LeMat-Bulk describes crystalline Zr2GeSe at its relaxed geometry. The functional is GGA-PBE.

abc: 3.885 3.885 6.824
angles: 73.46 73.46 60.00
Fractional coordinates of all 4 atoms:
Ge 0.500 0.500 0.500
Se 0.000 0.000 0.000
Zr 0.242 0.242 0.274
Zr 0.758 0.758 0.726

Summary:
- V: 84.24 Å³/cell
- Formation energy without anion corrections: -944 meV/atom
- Total magnetic moment: 0.0 μB/cell
- Crystal system: trigonal



Question: The highest total magnetic moment belongs to which entry?
Answer: U2H2SBr